The following is a PBE calculation of crystalline Cs2AlCuI6 at its relaxed geometry, from the Open Quantum Materials Database.

a = 8.0502 Å, b = 8.2927 Å, c = 14.6433 Å
α = 90.00°, β = 123.05°, γ = 90.00°
Closest atoms and distances in Å follow each position.
Positions (direct):
Cs: 0.2437 0.0139 0.2501  10 I 3.99-4.28
Cs: 0.2437 0.4861 0.7501  10 I 3.99-4.28
Cs: 0.7563 0.5139 0.2499  10 I 3.99-4.28
Cs: 0.7563 0.9861 0.7499  10 I 3.99-4.28
Al: 0.5000 0.0000 0.0000  4 I 2.69-2.73
Al: 0.5000 0.5000 0.5000  4 I 2.69-2.73
Cu: 0.0000 0.0000 0.5000  2 I 2.54
Cu: 0.0000 0.5000 0.0000  2 I 2.54
I: 0.2353 0.6974 0.9945  1 Cu 2.54
I: 0.2353 0.8026 0.4945  1 Cu 2.54
I: 0.2407 0.2124 0.9923  1 Al 2.69
I: 0.2407 0.2876 0.4923  1 Al 2.69
I: 0.2903 0.5073 0.2780  1 Al 2.73
I: 0.2903 0.9927 0.7780  1 Al 2.73
I: 0.7097 0.0073 0.2220  1 Al 2.73
I: 0.7097 0.4927 0.7220  1 Al 2.73
I: 0.7593 0.7124 0.5077  1 Al 2.69
I: 0.7593 0.7876 0.0077  1 Al 2.69
I: 0.7647 0.1974 0.5055  1 Cu 2.54
I: 0.7647 0.3026 0.0055  1 Cu 2.54

Values from the calculation:
E_tot in eV for the cell shown: -53.66
Volume in Å³/cell: 819